Crystalline IrPt4Rh at its relaxed geometry, computed with GGA-PBE.

```
24
Lattice="11.209 0.000 0.000 0.000 3.916 0.000 0.000 0.000 8.318" Properties=species:S:1:pos:R:3 pbc="T T T"
Ir 2.124 0.979 0.691
Ir 3.481 2.937 4.850
Ir 7.728 0.979 3.468
Ir 9.085 2.937 7.627
Pt 0.700 2.937 2.085
Pt 0.707 2.937 7.629
Pt 2.089 0.979 3.477
Pt 2.109 0.979 6.220
Pt 3.496 2.937 2.060
Pt 3.516 2.937 7.636
Pt 4.898 0.979 3.470
Pt 4.904 0.979 6.245
Pt 6.305 2.937 2.074
Pt 6.311 2.937 4.848
Pt 7.693 0.979 0.682
Pt 7.713 0.979 6.258
Pt 9.100 2.937 2.099
Pt 9.120 2.937 4.842
Pt 10.502 0.979 0.689
Pt 10.508 0.979 6.233
Rh 0.710 2.937 4.837
Rh 4.895 0.979 0.677
Rh 6.314 2.937 7.641
Rh 10.499 0.979 3.482
```

## Properties
energy	-6.708	eV/atom
energy above the lowest structure with this stoichiometry	0	meV/atom
V	91.3	Å³/f.u.
ρ	19.56	g/cm³